No. 1
A plane-wave DFT calculation with PBE-GGA was carried out for a relaxed Pr7Ru2Pb2 crystal.

Cell: 7.1128 7.1128 7.3862 Å, 90.00 90.00 106.72°
Closest atoms and distances in Å follow each position.
Fractional coordinates of all 11 atoms:
Pr  0.0000  0.0000  0.0000  2 Ru 3.29
Pr  0.0000  0.5000  0.2469  2 Ru 2.83
Pr  0.0000  0.5000  0.7531  2 Ru 2.83
Pr  0.5000  0.0000  0.2469  2 Ru 2.83
Pr  0.5000  0.0000  0.7531  2 Ru 2.83
Pr  0.5000  0.5000  0.2322  2 Ru 2.96
Pr  0.5000  0.5000  0.7678  2 Ru 2.96
Ru  0.2883  0.7117  0.0000  6 Pr 2.83-2.96
Ru  0.7117  0.2883  0.0000  6 Pr 2.83-2.96
Pb  0.1819  0.1819  0.5000  1 Pb 3.09, 2 Pr 3.35
Pb  0.8181  0.8181  0.5000  1 Pb 3.09, 2 Pr 3.35

Properties
total magnetization = 0.00 μB per cell
symmetry = Cmmm (65)
DFT formation energy = -2.38 eV/f.u.

***

No. 2
A plane-wave DFT calculation with PBE-GGA was carried out for a relaxed Ca2AlH10IO8 crystal.

Cell: 5.8186 5.8408 9.5599 Å, 104.75 90.48 119.77°
Closest atoms and distances in Å follow each position.
Fractional coordinates of all 22 atoms:
Ca  0.0000  0.0000  0.0000  7 O 2.37-2.49
Ca  0.3717  0.7369  0.1235  7 O 2.37-2.49
Al  0.6863  0.3692  0.0619  6 O 1.93
H  0.0098  0.9620  0.6715  1 O 0.98
H  0.4074  0.9231  0.8507  1 O 0.97
H  0.4133  0.7560  0.4490  1 O 0.98
H  0.4157  0.3619  0.2705  1 O 0.97
H  0.4304  0.0328  0.4506  1 O 0.99
H  0.4986  0.4587  0.8531  1 O 0.97
H  0.7471  0.6914  0.6736  1 O 0.99
H  0.8623  0.2717  0.2721  1 O 0.97
H  0.9533  0.8160  0.2707  1 O 0.97
H  0.9535  0.3755  0.8532  1 O 0.97
I  0.2563  0.3559  0.5589  4 H 2.55-2.56
O  0.4013  0.0033  0.9519  1 H 0.97
O  0.4132  0.3795  0.1721  1 H 0.97
O  0.4702  0.8932  0.3949  2 H 0.98-0.99
O  0.6019  0.5598  0.9514  1 H 0.97
O  0.7696  0.1776  0.1716  1 H 0.97
O  0.9279  0.8314  0.7290  2 H 0.98-0.99
O  0.9599  0.3595  0.9516  1 H 0.97
O  0.9711  0.7360  0.1720  1 H 0.97

Properties
total magnetization = 0.16 μB per cell
symmetry = P1 (1)

***

No. 3
A plane-wave DFT calculation with PBE-GGA was carried out for a relaxed Ti2AgPd2 crystal.

Cell: 7.5450 7.5450 2.9258 Å, 90.00 90.00 90.00°
Closest atoms and distances in Å follow each position.
Fractional coordinates of all 10 atoms:
Ti  0.1654  0.3346  0.0000  6 Pd 2.61-2.69
Ti  0.3346  0.8346  0.0000  6 Pd 2.61-2.69
Ti  0.6654  0.1654  0.0000  6 Pd 2.61-2.69
Ti  0.8346  0.6654  0.0000  6 Pd 2.61-2.69
Ag  0.0000  0.0000  0.5000  2 Ag 2.93, 4 Pd 2.95, 8 Ti 3.17
Ag  0.5000  0.5000  0.5000  2 Ag 2.93, 4 Pd 2.95, 8 Ti 3.17
Pd  0.1319  0.6319  0.5000  6 Ti 2.61-2.69, 1 Pd 2.81
Pd  0.3681  0.1319  0.5000  6 Ti 2.61-2.69, 1 Pd 2.81
Pd  0.6319  0.8681  0.5000  6 Ti 2.61-2.69, 1 Pd 2.81
Pd  0.8681  0.3681  0.5000  6 Ti 2.61-2.69, 1 Pd 2.81

Properties
total magnetization = 0.61 μB per cell
symmetry = P4/mbm (127)
DFT formation energy = -1.85 eV/f.u.

***

No. 4
A plane-wave DFT calculation with PBE-GGA was carried out for a relaxed Ca5SiP8 crystal.

Cell: 7.5100 7.5100 7.5100 Å, 109.50 109.50 109.42°
Closest atoms and distances in Å follow each position.
Fractional coordinates of all 14 atoms:
Ca  0.0000  0.0000  0.0000  8 P 2.74-2.83
Ca  0.1299  0.2483  0.5948  6 P 2.88-3.19
Ca  0.4649  0.8701  0.1184  6 P 2.88-3.19
Ca  0.6535  0.5351  0.4052  6 P 2.88-3.19
Ca  0.7517  0.3465  0.8816  6 P 2.88-3.19
Si  0.2500  0.7500  0.5000  4 P 2.23
P  0.0600  0.3918  0.2709  1 Si 2.23, 1 P 2.45
P  0.1209  0.7891  0.7291  1 Si 2.23, 1 P 2.45
P  0.2109  0.9400  0.3318  1 Si 2.23, 1 P 2.45
P  0.2318  0.4128  0.0471  2 P 2.29-2.45
P  0.3657  0.1847  0.9529  2 P 2.29-2.45
P  0.5872  0.6343  0.8190  2 P 2.29-2.45
P  0.6082  0.8791  0.6682  1 Si 2.23, 1 P 2.45
P  0.8153  0.7682  0.1810  2 P 2.29-2.45

Properties
E_form (uncorrected) = -0.650 eV per atom
total magnetization = 0.00 μB per cell
symmetry = I-4 (82)

***

| no. | total DFT energy (no corrections) (eV per atom) | DOS(E_F) (states/eV/f.u.) |
| --- | --- | --- |
| 1 | -5.618 | 11.54 |
| 2 | -5.386 | 0.00 |
| 3 | -6.175 | 4.70 |
| 4 | -4.844 | 5.30 |